The following is a PBE calculation of a relaxed structure of Mg2CdRu, from Alexandria.

Lattice parameters (Å, degrees): 9.850 9.850 9.850 17.50 17.50 17.50
Element x y z (fractional)
Ru1 0.502 0.502 0.502
Cd1 0.757 0.757 0.757
Mg1 0.240 0.240 0.240
Mg2 0.000 0.000 0.000

Results
**Density of states at the Fermi level**: 3.107 states/eV/f.u.
**Total energy**: -12.64 eV/cell
**ΔH_f (0 K)**: 0.18 eV per atom